Entry 1:
Below is an optimized crystal structure of LaNiSb2, with properties calculated at the GGA-PBE level.

- SG = No. 119
- size of the total moment (μB/cell) = 0.00
- DOS(E_F) (states/eV/f.u.) = 4.1
- raw formation energy (eV/atom) = -0.306

abc: 5.818 5.818 5.818
angles: 134.98 134.98 65.56
Sites, in units of the cell vectors:
La (0.500, 0.500, 0.000)
Ni (0.750, 0.250, 0.500)
Sb (0.000, 0.000, 0.000)
Sb (0.250, 0.750, 0.500)



Entry 2:
Below is an optimized crystal structure of LaNi2Sb, with properties calculated at the GGA-PBE level.

- SG = No. 44
- size of the total moment (μB/cell) = 0.00
- DOS(E_F) (states/eV/f.u.) = 2.4
- raw formation energy (eV/atom) = -0.155

abc: 5.828 5.828 5.828
angles: 146.60 133.14 58.76
Sites, in units of the cell vectors:
La (0.260, 0.760, 0.500)
Ni (0.954, 0.954, 0.000)
Ni (0.750, 0.250, 0.500)
Sb (0.536, 0.536, 0.000)



Entry 3:
Below is an optimized crystal structure of LaNi2Sb, with properties calculated at the GGA-PBE level.

- SG = No. 160
- size of the total moment (μB/cell) = 0.00
- DOS(E_F) (states/eV/f.u.) = 4.1
- raw formation energy (eV/atom) = -0.508

abc: 4.212 4.212 5.921
angles: 69.21 69.21 60.02
Sites, in units of the cell vectors:
La (0.261, 0.261, 0.217)
Ni (0.051, 0.051, 0.848)
Ni (0.732, 0.732, 0.804)
Sb (0.457, 0.457, 0.630)



Number 2 is which compound?
LaNi2Sb



Among the records above, which one has the lowest DOS(E_F)?
number 2



Which value of size of the total moment does entry 1 give?
0.00 μB/cell



Please write out number 2 again, unchanged.
Below is an optimized crystal structure of LaNi2Sb, with properties calculated at the GGA-PBE level.

- SG = No. 44
- size of the total moment (μB/cell) = 0.00
- DOS(E_F) (states/eV/f.u.) = 2.4
- raw formation energy (eV/atom) = -0.155

abc: 5.828 5.828 5.828
angles: 146.60 133.14 58.76
Sites, in units of the cell vectors:
La (0.260, 0.760, 0.500)
Ni (0.954, 0.954, 0.000)
Ni (0.750, 0.250, 0.500)
Sb (0.536, 0.536, 0.000)